A crystal of La5Al15Cu4Au relaxed with PBEsol. Source: Alexandria, functional SCAN.

Cell: 26.6391 26.6391 26.6391 Å, 170.78 170.78 13.06°
Sites, in units of the cell vectors:
La 0.0000 0.0000 0.0000
La 0.1984 0.1984 0.0000
La 0.4003 0.4003 0.0000
La 0.5991 0.5991 0.0000
La 0.7975 0.7975 0.0000
Al 0.0496 0.5496 0.5000
Al 0.1173 0.1173 0.0000
Al 0.1488 0.6488 0.5000
Al 0.2478 0.7478 0.5000
Al 0.3155 0.3155 0.0000
Al 0.3467 0.8467 0.5000
Al 0.4504 0.9504 0.5000
Al 0.5182 0.5182 0.0000
Al 0.5496 0.0496 0.5000
Al 0.6488 0.1488 0.5000
Al 0.7164 0.7164 0.0000
Al 0.7478 0.2478 0.5000
Al 0.8467 0.3467 0.5000
Al 0.9195 0.9195 0.0000
Al 0.9504 0.4504 0.5000
Cu 0.0721 0.0721 0.0000
Cu 0.2703 0.2703 0.0000
Cu 0.4729 0.4729 0.0000
Cu 0.6712 0.6712 0.0000
Au 0.8724 0.8724 0.0000

Calculated values
**Electronic total energy**: -1.402 Ry per atom
**DOS(E_F)**: 6.73 states/eV/cell

***

A crystal of TaTlOs3 relaxed with PBEsol. Source: Alexandria, functional SCAN.

Cell: 4.7268 4.7268 4.7268 Å, 90.00 90.00 90.00°
Sites, in units of the cell vectors:
Ta 0.0000 0.0000 0.0000
Tl 0.5000 0.5000 0.5000
Os 0.0000 0.5000 0.5000
Os 0.5000 0.0000 0.5000
Os 0.5000 0.5000 0.0000

Calculated values
**Electronic total energy**: -4.971 Ry per atom
**DOS(E_F)**: 3.32 states/eV/cell

***

A crystal of ZnCd relaxed with PBEsol. Source: Alexandria, functional SCAN.

Cell: 11.6742 2.7731 4.7621 Å, 90.00 111.06 90.00°
Sites, in units of the cell vectors:
Zn 0.1498 0.0000 0.3387
Zn 0.3502 0.5000 0.6613
Zn 0.6498 0.5000 0.3387
Zn 0.8502 0.0000 0.6613
Cd 0.1071 0.5000 0.8086
Cd 0.3929 0.0000 0.1914
Cd 0.6071 0.0000 0.8086
Cd 0.8929 0.5000 0.1914

Calculated values
**Electronic total energy**: -1.609 Ry per atom
**DOS(E_F)**: 1.99 states/eV/cell

***

Q: Which formation energy values were calculated for the entries above? A: -0.61 3.28 0.07, in eV/atom.